! Dy2NiF, relaxed, DFT PBE+U; values from VASP
&SYSTEM
  ibrav = 0, nat = 4, ntyp = 3
/
ATOMIC_SPECIES
F 19.00 F.upf
Dy 162.50 Dy.upf
Ni 58.69 Ni.upf
CELL_PARAMETERS angstrom
3.207 0.000 0.000
1.603 2.777 0.000
1.603 0.926 8.678
ATOMIC_POSITIONS angstrom
F 3.207 1.851 4.339
Dy 4.810 2.777 2.428
Dy 1.603 0.926 6.250
Ni 0.000 0.000 0.000
! * E: -3.82 eV/atom
! * volume: 19.321 Å³ per atom
! * magnetization: 0.0 μB/f.u.

=====

! DyNiF5, relaxed, DFT PBE+U; values from VASP
&SYSTEM
  ibrav = 0, nat = 14, ntyp = 3
/
ATOMIC_SPECIES
F 19.00 F.upf
Ni 58.69 Ni.upf
Dy 162.50 Dy.upf
CELL_PARAMETERS angstrom
-0.802 -0.018 5.530
4.282 -2.745 2.314
4.715 4.942 3.262
ATOMIC_POSITIONS angstrom
F 3.356 -1.555 6.285
F 3.261 3.405 7.643
F 5.460 1.052 8.076
F 2.734 1.126 3.029
F 7.217 2.899 6.384
F 0.977 -0.721 4.721
F 4.934 -1.228 3.462
F 2.937 1.460 5.970
F 4.838 3.733 4.820
F 5.257 0.718 5.135
Ni 0.000 0.000 0.000
Ni 2.357 2.471 1.631
Dy 3.197 -0.296 4.561
Dy 4.998 2.474 6.544
! * E: -5.64 eV/atom
! * volume: 14.641 Å³ per atom
! * magnetization: 2.0 μB/f.u.

=====

! Rb2DyNi3F12, relaxed, DFT PBE+U; values from VASP
&SYSTEM
  ibrav = 0, nat = 18, ntyp = 4
/
ATOMIC_SPECIES
F 19.00 F.upf
Dy 162.50 Dy.upf
Rb 85.47 Rb.upf
Ni 58.69 Ni.upf
CELL_PARAMETERS angstrom
-1.133 2.994 -6.814
-1.750 -4.277 -5.944
-6.846 0.206 -3.126
ATOMIC_POSITIONS angstrom
F -8.224 -2.634 -10.683
F -4.040 -2.935 -8.477
F -7.883 1.385 -11.164
F -2.584 -0.873 -9.124
F -5.689 1.858 -7.407
F -3.665 1.495 -9.008
F -7.145 -0.203 -6.761
F -4.663 0.017 -3.163
F -1.505 1.558 -5.201
F -6.064 -2.571 -6.877
F -5.066 -1.093 -12.722
F -1.846 -2.462 -4.720
Dy 0.000 0.000 0.000
Rb -5.974 -0.661 -9.755
Rb -3.755 -0.415 -6.130
Ni -0.875 -2.138 -2.972
Ni -3.423 0.103 -1.563
Ni -0.567 1.497 -3.407
! * E: -4.70 eV/atom
! * volume: 16.162 Å³ per atom
! * magnetization: 5.0 μB/f.u.

=====

! Rb2DyNiF6, relaxed, DFT PBE+U; values from VASP
&SYSTEM
  ibrav = 0, nat = 10, ntyp = 4
/
ATOMIC_SPECIES
F 19.00 F.upf
Dy 162.50 Dy.upf
Rb 85.47 Rb.upf
Ni 58.69 Ni.upf
CELL_PARAMETERS angstrom
-5.136 -2.350 3.415
3.164 -2.376 5.282
-1.412 1.396 6.296
ATOMIC_POSITIONS angstrom
F -2.182 -2.894 9.654
F -1.202 -0.436 5.339
F -0.275 -0.976 11.126
F -3.109 -2.353 3.867
F -1.414 -3.376 6.222
F -1.970 0.046 8.771
Dy -0.986 -2.363 4.348
Rb -3.768 -1.657 7.030
Rb 0.384 -1.672 7.963
Ni 0.000 0.000 0.000
! * E: -5.00 eV/atom
! * volume: 18.268 Å³ per atom
! * magnetization: 1.0 μB/f.u.